VASP calculation (PBE) on crystalline Er2Ag2Pb at its relaxed geometry.

The formation energy comes out at -1.13 eV per formula unit.

It has space group C2/c (No. 15), with a = 11.225 Å, b = 7.694 Å, c = 5.804 Å, α = 90.00°, β = 90.28° and γ = 90.00°. The asymmetric unit holds Er at (0.172, 0.160, 0.249), Ag at (0.125, 0.500, 0.498) and Pb at (0.000, 0.187, 0.750).